1.
# U3P2N

A relaxed U3P2N crystal (PBE-GGA, the Alexandria database).

Properties
- E_form (uncorrected) (eV per atom) = -0.967
- calculated volume (Å³ per cell) = 226.53
- DOS(E_F) (states/eV/cell) = 29.93
- space group = No. 71
- total moment (μB/atom) = 0.904
- energy (eV/atom) = -9.802

Unit cell a=5.406 b=7.431 c=6.523 alpha=106.55 beta=114.48 gamma=90.00
Last column: magnetic moment on the atom in μB.
Element x y z (fractional)
U 0.500 0.250 0.000  1.84
U 0.500 0.750 0.000  1.84
U 0.141 0.070 0.281  1.63
U 0.859 0.430 0.719  1.63
U 0.141 0.570 0.281  1.63
U 0.859 0.930 0.719  1.63
P 0.679 0.589 0.358  -0.07
P 0.679 0.089 0.358  -0.07
P 0.321 0.911 0.642  -0.07
P 0.321 0.411 0.642  -0.07
N 0.000 0.750 0.000  -0.11
N 0.000 0.250 0.000  -0.11

***

2.
# Ba2CaIr

A relaxed Ba2CaIr crystal (PBE-GGA, the Alexandria database).

Properties
- calculated volume (Å³ per cell) = 159.60
- DOS(E_F) (states/eV/cell) = 3.84
- space group = No. 123
- energy relative to the lowest polymorph listed for this composition (meV/atom) = 238
- energy of formation (meV per atom) = 53
- total moment (μB/atom) = 0.001
- energy (eV/atom) = -3.624

Unit cell a=3.851 b=3.851 c=10.761 alpha=90.00 beta=90.00 gamma=90.04
Element x y z (fractional)
Ca 0.500 0.500 0.250
Ir 0.500 0.500 0.750
Ba 0.000 0.000 0.916
Ba 0.000 0.000 0.584

***

3.
# Np2TlTe4Pd

A relaxed Np2TlTe4Pd crystal (PBE-GGA, the Alexandria database).

Properties
- E_form (uncorrected) (eV per atom) = -0.545
- calculated volume (Å³ per cell) = 503.42
- DOS(E_F) (states/eV/cell) = 48.02
- space group = No. 63
- total moment (μB/atom) = 0.902
- energy (eV/atom) = -6.295

Unit cell a=4.330 b=7.833 c=15.443 alpha=90.00 beta=90.00 gamma=106.05
Last column: magnetic moment on the atom in μB.
Element x y z (fractional)
Np 0.367 0.734 0.569  3.83
Np 0.633 0.266 0.069  3.83
Np 0.633 0.266 0.431  3.83
Np 0.367 0.734 0.931  3.83
Tl 0.124 0.247 0.750  -0.02
Tl 0.876 0.753 0.250  -0.02
Te 0.272 0.544 0.110  -0.11
Te 0.728 0.456 0.610  -0.11
Te 0.728 0.456 0.890  -0.11
Te 0.272 0.544 0.390  -0.11
Te 0.000 0.000 0.500  -0.12
Te 0.000 0.000 0.000  -0.12
Te 0.443 0.887 0.750  -0.11
Te 0.557 0.113 0.250  -0.11
Pd 0.837 0.675 0.750  -0.15
Pd 0.163 0.325 0.250  -0.15

***

4.
# TaBe2Ge2

A relaxed TaBe2Ge2 crystal (PBE-GGA, the Alexandria database).

Properties
- calculated volume (Å³ per cell) = 69.03
- DOS(E_F) (states/eV/cell) = 3.49
- space group = No. 139
- energy of formation (meV per atom) = 477
- total moment (μB/atom) = 0.000
- energy (eV/atom) = -5.231

Unit cell a=3.708 b=3.708 c=5.663 alpha=70.89 beta=70.89 gamma=90.00
Element x y z (fractional)
Be 0.405 0.405 0.191
Be 0.595 0.595 0.809
Ge 0.750 0.250 0.500
Ge 0.250 0.750 0.500
Ta 0.000 0.000 0.000

***

5.
# SrTa2Se

A relaxed SrTa2Se crystal (PBE-GGA, the Alexandria database).

Properties
- E_form (uncorrected) (eV per atom) = 0.553
- calculated volume (Å³ per cell) = 209.37
- DOS(E_F) (states/eV/cell) = 9.56
- space group = No. 122
- total moment (μB/atom) = 0.000
- energy (eV/atom) = -6.665

Unit cell a=4.610 b=4.610 c=10.375 alpha=77.16 beta=77.16 gamma=90.00
Element x y z (fractional)
Sr 0.000 0.000 0.000
Sr 0.750 0.250 0.500
Se 0.500 0.500 0.000
Se 0.250 0.750 0.500
Ta 0.274 0.125 0.250
Ta 0.476 0.625 0.250
Ta 0.375 0.726 0.750
Ta 0.875 0.524 0.750

***

6.
# Mg2CrGaPt

A relaxed Mg2CrGaPt crystal (PBE-GGA, the Alexandria database).

Properties
- calculated volume (Å³ per cell) = 106.96
- DOS(E_F) (states/eV/cell) = 6.70
- space group = No. 123
- energy of formation (meV per atom) = 887
- total moment (μB/atom) = 0.107
- energy (eV/atom) = -3.489

Unit cell a=4.818 b=4.608 c=4.818 alpha=90.00 beta=90.00 gamma=90.00
Last column: magnetic moment on the atom in μB.
Element x y z (fractional)
Cr 0.500 0.500 0.500  0.63
Mg 0.000 0.000 0.500  -0.01
Mg 0.500 0.000 0.000  0.00
Ga 0.000 0.000 0.000  -0.01
Pt 0.000 0.500 0.000  -0.02